Model one:
Density functional theory data (PBE) for an optimized crystal structure of TbPm3Sm4.

DOS(E_F) ... 1.757 states/eV per atom
Symmetry ... Pmn2_1

a = 6.3584 Å, b = 7.3496 Å, c = 11.6901 Å
α = 90.00°, β = 90.00°, γ = 90.00°
Fractional positions:
Tb (0.6479, 0.6251, 0.5000)
Tb (0.1479, 0.3749, 0.0000)
Pm (0.9805, 0.6247, 0.2499)
Pm (0.4805, 0.3753, 0.7499)
Pm (0.1484, 0.3745, 0.5000)
Pm (0.9805, 0.6247, 0.7501)
Pm (0.4805, 0.3753, 0.2501)
Pm (0.6484, 0.6255, 0.0000)
Sm (0.9807, 0.1252, 0.2487)
Sm (0.1474, 0.8751, 0.5000)
Sm (0.9807, 0.1252, 0.7513)
Sm (0.4807, 0.8748, 0.7487)
Sm (0.6474, 0.1249, 0.0000)
Sm (0.4807, 0.8748, 0.2513)
Sm (0.1490, 0.8752, 0.0000)
Sm (0.6490, 0.1248, 0.5000)


Model two:
Density functional theory data (PBE) for an optimized crystal structure of TbPm3Sm4.

DOS(E_F) ... 1.706 states/eV per atom
Symmetry ... C2/m

a = 3.5055 Å, b = 6.8884 Å, c = 11.9695 Å
α = 106.72°, β = 98.42°, γ = 90.00°
Fractional positions:
Pm (0.0000, 0.5000, 0.0000)
Pm (0.8755, 0.1164, 0.7509)
Pm (0.1245, 0.8836, 0.2491)
Sm (0.7412, 0.2430, 0.4824)
Sm (0.1242, 0.3658, 0.2484)
Sm (0.8758, 0.6342, 0.7516)
Sm (0.2588, 0.7570, 0.5176)
Tb (0.5000, 0.0000, 0.0000)


Which structure is the most stable? The one labeled model one.